Entry A
Density functional theory data (PBE) for YAl2Re after structural relaxation.

Values from the calculation:
mass density	7.8	Mg/m³
magnetic moment	0.00	μB/cell

Lattice parameters (Å, degrees): 4.6345 4.6345 4.6345 60.00 60.00 60.00
Closest atoms and distances in Å follow each position.
Atoms (fractional coordinates):
Y 0.0000 0.0000 0.0000  8 Al 2.84
Al 0.2500 0.2500 0.2500  4 Re 2.84, 4 Y 2.84
Al 0.7500 0.7500 0.7500  4 Re 2.84, 4 Y 2.84
Re 0.5000 0.5000 0.5000  8 Al 2.84


Entry B
Density functional theory data (PBE) for YAl2Re after structural relaxation.

Values from the calculation:
mass density	7.4	Mg/m³
magnetic moment	0.25	μB/cell

Lattice parameters (Å, degrees): 9.7586 9.7586 9.7586 17.56 17.56 17.56
Closest atoms and distances in Å follow each position.
Atoms (fractional coordinates):
Y 0.0000 0.0000 0.0000  6 Y 2.98, 3 Re 3.12, 3 Al 3.21
Al 0.5064 0.5064 0.5064  3 Re 2.65, 3 Al 2.85
Al 0.7607 0.7607 0.7607  9 Al 2.85-2.98
Re 0.2428 0.2428 0.2428  3 Al 2.65


Entry C
Density functional theory data (PBE) for YAl2Re after structural relaxation.

Values from the calculation:
mass density	7.7	Mg/m³
magnetic moment	0.00	μB/cell

Lattice parameters (Å, degrees): 4.8108 4.8108 4.8108 125.78 125.78 80.24
Closest atoms and distances in Å follow each position.
Atoms (fractional coordinates):
Y 0.0000 0.0000 0.0000  8 Al 2.86, 4 Re 3.10
Al 0.2500 0.7500 0.5000  4 Re 2.86, 4 Y 2.86, 4 Al 3.10
Al 0.7500 0.2500 0.5000  4 Re 2.86, 4 Y 2.86, 4 Al 3.10
Re 0.5000 0.5000 0.0000  8 Al 2.86, 4 Y 3.10


Least stable of them? entry B.